(1)
The following is a DFT calculation (PBE) of crystalline GaPt8Rh2 at its relaxed geometry. Values from VASP.

Properties
- Energy of formation: 0.144 eV per atom
- Polymorph energy (0 for the lowest one): 3.325 eV/f.u.
- Theoretical density: 16.581 g/cm3
- Space-group type: C2/m

Quantum ESPRESSO input file:
```
&SYSTEM
  ibrav = 0, nat = 11, ntyp = 3
/
ATOMIC_SPECIES
Pt 195.08 Pt.upf
Rh 102.91 Rh.upf
Ga 69.72 Ga.upf
ATOMIC_POSITIONS angstrom
Pt 4.1681 6.3567 4.8232
Rh 3.7796 8.4409 6.4046
Pt 1.8955 4.5742 5.1885
Pt 1.8955 6.2286 3.0082
Pt 4.4183 3.6017 4.4506
Pt 4.7074 2.6258 1.9923
Rh 2.5342 1.3894 1.0542
Pt 2.1457 3.4736 2.6356
Pt 4.4183 5.2561 2.2703
Pt 1.6064 7.2045 5.4665
Ga 0.0000 0.0000 0.0000
CELL_PARAMETERS angstrom
4.7203 0.5421 0.4113
0.7967 6.7043 0.8085
0.7967 2.5839 6.2390
```

=====

(2)
The following is a DFT calculation (PBE) of crystalline Pm3Nd5Sm3 at its relaxed geometry. Values from VASP.

Properties
- Energy of formation: 0.725 eV per atom
- Polymorph energy (0 for the lowest one): 4.641 eV/f.u.
- Theoretical density: 5.759 g/cm3
- Space-group type: P-62m

Quantum ESPRESSO input file:
```
&SYSTEM
  ibrav = 0, nat = 11, ntyp = 3
/
ATOMIC_SPECIES
Nd 144.24 Nd.upf
Pm 145.00 Pm.upf
Sm 150.36 Sm.upf
ATOMIC_POSITIONS angstrom
Nd 2.9415 1.1767 7.0453
Nd 2.2244 -7.0072 -2.3715
Pm 2.4158 -3.9795 -3.2516
Sm 5.1026 -3.6240 2.7610
Sm 1.0375 -0.3960 4.3876
Nd 1.6552 -2.6543 2.1807
Nd 3.6700 -5.1283 0.4055
Pm 3.9602 -1.1140 0.6666
Pm 2.9802 2.4616 4.1598
Nd 3.9962 -1.4055 4.6891
Sm 0.6810 -4.4647 -0.2940
CELL_PARAMETERS angstrom
-1.6900 -3.9019 3.5198
4.1888 -6.9001 -5.6380
5.1674 4.2683 7.2128
```

=====

(3)
The following is a DFT calculation (PBE) of crystalline NiBiP3 at its relaxed geometry. Values from VASP.

Properties
- Energy of formation: -0.024 eV per atom
- Polymorph energy (0 for the lowest one): 0.294 eV/f.u.
- Theoretical density: 6.466 g/cm3
- Space-group type: Cm

Quantum ESPRESSO input file:
```
&SYSTEM
  ibrav = 0, nat = 10, ntyp = 3
/
ATOMIC_SPECIES
P 30.97 P.upf
Ni 58.69 Ni.upf
Bi 208.98 Bi.upf
ATOMIC_POSITIONS angstrom
P 1.0644 1.6445 6.4076
P -2.2749 0.0000 5.5393
Ni 2.0185 0.0000 0.5089
Bi -0.9731 1.6445 8.1693
P -3.8631 0.0000 7.2937
P -0.9295 1.6445 2.7417
P 3.9980 0.0000 1.8556
Bi 1.9605 0.0000 3.6173
Ni -0.9151 1.6445 5.0609
P 0.6587 1.6445 0.9873
CELL_PARAMETERS angstrom
6.1870 0.0000 -0.0027
0.0000 3.2891 0.0000
-5.8672 0.0000 9.1040
```

=====

(4)
The following is a DFT calculation (PBE) of crystalline CeScAlAg at its relaxed geometry. Values from VASP.

Properties
- Energy of formation: -0.207 eV per atom
- Theoretical density: 5.760 g/cm3
- Space-group type: F-43m

Quantum ESPRESSO input file:
```
&SYSTEM
  ibrav = 0, nat = 4, ntyp = 4
/
ATOMIC_SPECIES
Al 26.98 Al.upf
Sc 44.96 Sc.upf
Ce 140.12 Ce.upf
Ag 107.87 Ag.upf
ATOMIC_POSITIONS angstrom
Al 5.0714 2.9280 2.0704
Sc 7.6071 4.3919 3.1056
Ce 2.5357 1.4640 1.0352
Ag 0.0000 0.0000 0.0000
CELL_PARAMETERS angstrom
5.0714 0.0000 0.0000
2.5357 4.3919 0.0000
2.5357 1.4640 4.1408
```

=====

(5)
The following is a DFT calculation (PBE) of crystalline NdInAs2Rh5 at its relaxed geometry. Values from VASP.

Properties
- Energy of formation: -0.431 eV per atom
- Theoretical density: 8.492 g/cm3
- Space-group type: P4/mmm

Quantum ESPRESSO input file:
```
&SYSTEM
  ibrav = 0, nat = 9, ntyp = 4
/
ATOMIC_SPECIES
Rh 102.91 Rh.upf
As 74.92 As.upf
In 114.82 In.upf
Nd 144.24 Nd.upf
ATOMIC_POSITIONS angstrom
Rh 2.0568 0.0000 1.7738
Rh 0.0000 2.0568 1.7738
As 2.0568 2.0568 7.7037
Rh 2.0568 2.0568 5.3350
In 0.0000 0.0000 0.0000
Nd 0.0000 0.0000 5.3350
Rh 2.0568 0.0000 8.8963
Rh 0.0000 2.0568 8.8963
As 2.0568 2.0568 2.9664
CELL_PARAMETERS angstrom
4.1137 0.0000 0.0000
0.0000 4.1137 0.0000
0.0000 0.0000 10.6701
```

=====

(6)
The following is a DFT calculation (PBE) of crystalline TbHoSn2 at its relaxed geometry. Values from VASP.

Properties
- Energy of formation: -0.726 eV per atom
- Theoretical density: 8.449 g/cm3
- Space-group type: Amm2

Quantum ESPRESSO input file:
```
&SYSTEM
  ibrav = 0, nat = 4, ntyp = 3
/
ATOMIC_SPECIES
Ho 164.93 Ho.upf
Sn 118.71 Sn.upf
Tb 158.93 Tb.upf
ATOMIC_POSITIONS angstrom
Ho -2.7676 2.9187 3.9628
Sn -2.7883 3.3709 0.5581
Tb -3.1860 0.3391 1.2851
Sn -3.1652 -0.1133 4.6891
CELL_PARAMETERS angstrom
-2.1664 2.9926 -2.5461
-3.3362 -2.7035 -0.3388
-1.2494 0.7961 5.9506
```

=====

(7)
The following is a DFT calculation (PBE) of crystalline Hf2Al3Co at its relaxed geometry. Values from VASP.

Properties
- Energy of formation: 0.075 eV per atom
- Theoretical density: 7.584 g/cm3
- Space-group type: Immm

Quantum ESPRESSO input file:
```
&SYSTEM
  ibrav = 0, nat = 6, ntyp = 3
/
ATOMIC_SPECIES
Hf 178.49 Hf.upf
Co 58.93 Co.upf
Al 26.98 Al.upf
ATOMIC_POSITIONS angstrom
Hf -1.9313 0.0040 2.3843
Co -1.2053 -2.1942 -0.9726
Hf -2.3177 -3.3586 3.0331
Al 0.0000 0.0000 0.0000
Al -1.3305 -1.3928 4.7912
Al -2.9184 -1.9618 0.6262
CELL_PARAMETERS angstrom
-2.4667 1.4693 -0.2579
-2.4106 -4.3883 -1.9451
0.6283 -0.4356 7.6204
```

=====

(8)
The following is a DFT calculation (PBE) of crystalline SiC3I at its relaxed geometry. Values from VASP.

Properties
- Polymorph energy (0 for the lowest one): 0.000 eV/f.u.
- Formation energy without anion corrections: 2.293 eV/atom
- Theoretical density: 5.261 g/cm3
- Space-group type: Pm-3m

Quantum ESPRESSO input file:
```
&SYSTEM
  ibrav = 0, nat = 5, ntyp = 3
/
ATOMIC_SPECIES
C 12.01 C.upf
Si 28.09 Si.upf
I 126.90 I.upf
ATOMIC_POSITIONS angstrom
C 0.0000 1.9606 0.0000
Si 0.0000 0.0000 0.0000
C 0.0000 0.0000 1.9606
C 1.9606 0.0000 0.0000
I 1.9606 1.9606 1.9606
CELL_PARAMETERS angstrom
3.9213 0.0000 0.0000
0.0000 3.9213 0.0000
0.0000 0.0000 3.9213
```

=====

(9)
The following is a DFT calculation (PBE) of crystalline ZnCu3Bi4O12 at its relaxed geometry. Values from VASP.

Properties
- Formation energy without anion corrections: -0.766 eV/atom
- Theoretical density: 7.764 g/cm3
- Space-group type: Im-3

Quantum ESPRESSO input file:
```
&SYSTEM
  ibrav = 0, nat = 20, ntyp = 4
/
ATOMIC_SPECIES
O 16.00 O.upf
Cu 63.55 Cu.upf
Bi 208.98 Bi.upf
Zn 65.41 Zn.upf
ATOMIC_POSITIONS angstrom
O -0.3625 0.9309 2.7711
O -2.4953 3.2417 3.1705
O -2.6879 4.9749 0.5235
Cu -1.0788 3.9271 0.4237
Bi -2.5347 1.2044 2.1677
O -0.3912 0.6143 5.6319
Bi -2.4938 1.6547 -1.9019
O -2.3815 -2.5661 3.8119
Cu -0.0409 -0.4503 4.0695
O -4.6782 1.7945 -1.2965
Bi 1.4150 2.2724 2.3256
O -5.3508 -1.5836 1.0539
Cu -3.9497 -1.0680 -0.1579
O -3.1399 0.1947 4.1098
Bi -1.4559 -2.7227 1.7440
O 0.2814 3.9924 3.2815
O -2.5741 -0.8328 1.1649
O -1.9295 2.2142 0.2256
O -4.7069 1.4780 1.5643
Zn 0.0000 0.0000 0.0000
CELL_PARAMETERS angstrom
-2.9118 -5.4454 3.4880
2.8300 4.5448 4.6511
-4.9876 3.3095 -3.8037
```

=====

(10)
The following is a DFT calculation (PBE) of crystalline Cr2InTe at its relaxed geometry. Values from VASP.

Properties
- Polymorph energy (0 for the lowest one): 0.678 eV/f.u.
- Formation energy without anion corrections: 0.440 eV/atom
- Theoretical density: 6.634 g/cm3
- Space-group type: C2/m

Quantum ESPRESSO input file:
```
&SYSTEM
  ibrav = 0, nat = 4, ntyp = 3
/
ATOMIC_SPECIES
Cr 52.00 Cr.upf
Te 127.60 Te.upf
In 114.82 In.upf
ATOMIC_POSITIONS angstrom
Cr 0.0387 0.0162 0.0336
Te 7.0431 2.9529 4.0703
Cr 4.6567 1.9524 2.6800
In 2.3477 0.9843 1.3568
CELL_PARAMETERS angstrom
4.7027 -0.0200 -0.0106
3.2823 3.3678 -0.0106
1.4059 0.5894 5.4483
```

=====

(11)
The following is a DFT calculation (PBE) of crystalline Cd4BiSbI2 at its relaxed geometry. Values from VASP.

Properties
- Formation energy without anion corrections: -0.122 eV/atom
- Theoretical density: 6.468 g/cm3
- Space-group type: Imma

Quantum ESPRESSO input file:
```
&SYSTEM
  ibrav = 0, nat = 16, ntyp = 4
/
ATOMIC_SPECIES
I 126.90 I.upf
Cd 112.41 Cd.upf
Bi 208.98 Bi.upf
Sb 121.76 Sb.upf
ATOMIC_POSITIONS angstrom
I 4.2829 4.2858 0.0077
I -2.1189 -2.1203 3.0261
Cd 1.6840 2.4741 0.0941
Cd 7.3435 1.2843 0.0493
Cd -0.3090 0.4798 2.9397
Cd -3.0154 3.0467 6.0184
Bi 6.8629 1.7527 3.0376
Cd 0.0527 4.2184 2.9922
I 2.5801 -2.5331 3.0300
Sb 5.1601 -5.0662 6.0599
Cd 4.6369 3.8513 3.1280
Bi -0.4161 4.6986 0.0039
Sb 2.1639 2.1655 3.0338
Cd 2.6439 1.8569 5.9735
Cd 4.2753 0.1126 3.0754
I 4.6989 -0.4127 0.0039
CELL_PARAMETERS angstrom
9.3978 -0.8255 0.0077
-0.8321 9.3972 0.0077
-4.2377 -4.2407 6.0523
```

=====

(12)
The following is a DFT calculation (PBE) of crystalline CaIr2C2 at its relaxed geometry. Values from VASP.

Properties
- Energy of formation: 0.422 eV per atom
- Polymorph energy (0 for the lowest one): 0.000 eV/f.u.
- Theoretical density: 11.123 g/cm3
- Space-group type: I4/mmm

Quantum ESPRESSO input file:
```
&SYSTEM
  ibrav = 0, nat = 5, ntyp = 3
/
ATOMIC_SPECIES
C 12.01 C.upf
Ca 40.08 Ca.upf
Ir 192.22 Ir.upf
ATOMIC_POSITIONS angstrom
C 3.8516 1.9258 2.2569
Ca 0.0000 0.0000 0.0000
Ir 1.9258 1.9258 1.3816
Ir 3.8516 3.8516 3.1322
C 1.9258 3.8516 2.2569
CELL_PARAMETERS angstrom
3.8516 0.0000 0.0000
0.0000 3.8516 0.0000
1.9258 1.9258 4.5138
```

=====

What is the formula in the twelfth record? CaIr2C2